[1]
The following is a DFT calculation (SCAN) of a PBEsol-optimized structure of ZrTc2TePb.

## Properties
* formation energy (no corrections): 1677 meV/atom

Cell lengths 4.9415, 4.9415, 5.3318 Å; angles 90.00, 90.00, 90.00 degrees
Last column: nearest neighbours and their distance in Å.
Fractional positions:
Zr  0.0000  0.0000  0.0000  2 Pb 2.67
Tc  0.0000  0.5000  0.5000  2 Pb 2.47
Tc  0.5000  0.0000  0.5000  2 Pb 2.47
Te  0.5000  0.5000  0.0000  4 Zr 3.49, 8 Tc 3.63
Pb  0.0000  0.0000  0.5000  4 Tc 2.47, 2 Zr 2.67

=====

[2]
The following is a DFT calculation (SCAN) of a PBEsol-optimized structure of TiTcPb3.

## Properties
* DFT total energy: -54.8796 eV/atom

Cell lengths 5.2219, 5.2219, 5.2219 Å; angles 90.00, 90.00, 90.00 degrees
Last column: nearest neighbours and their distance in Å.
Fractional positions:
Ti  0.0000  0.0000  0.0000  12 Pb 3.69
Tc  0.5000  0.5000  0.5000  6 Pb 2.61
Pb  0.0000  0.5000  0.5000  2 Tc 2.61
Pb  0.5000  0.0000  0.5000  2 Tc 2.61
Pb  0.5000  0.5000  0.0000  2 Tc 2.61

=====

[3]
The following is a DFT calculation (SCAN) of a PBEsol-optimized structure of TlTc2Pb.

## Properties
* offset from the most stable computed form: 0.626 eV/atom

Cell lengths 5.4165, 5.4165, 3.0595 Å; angles 104.87, 104.87, 111.63 degrees
Last column: nearest neighbours and their distance in Å.
Fractional positions:
Tl  0.0000  0.0000  0.0000  4 Tc 2.75, 2 Pb 3.04, 2 Tl 3.06
Tc  0.0000  0.5000  0.5000  2 Tl 2.75, 2 Pb 2.75, 4 Tc 3.04-3.06
Tc  0.5000  0.0000  0.5000  2 Tl 2.75, 2 Pb 2.75, 4 Tc 3.04-3.06
Pb  0.5000  0.5000  0.0000  4 Tc 2.75, 2 Tl 3.04, 2 Pb 3.06

=====

no.,volume (Å³ per cell)
1,130
2,142
3,74